A geometry-optimized CsPrGe structure. Source: OQMD via LeMat-Bulk, functional PBE-GGA.

- Polymorph energy (0 for the lowest one): 0.00 eV/f.u.

Unit cell a=5.4979 b=5.4979 c=5.4979 alpha=60.00 beta=60.00 gamma=60.00
Closest atoms and distances in Å follow each position.
Fractional positions:
1 Cs 0.2500 0.2500 0.2500  4 Ge 3.37
2 Ge 0.0000 0.0000 0.0000  4 Cs 3.37, 4 Pr 3.37
3 Pr 0.7500 0.7500 0.7500  4 Ge 3.37